(1)
VASP calculation (PBE-GGA) on a geometry-optimized NaCuPS4 structure.

a b c (Å): 7.6988 11.3866 7.0744
angles (deg): 90.00 90.00 90.00
Closest atoms and distances in Å follow each position.
Space group Cmcm (No. 63)
Symmetry-distinct sites (fractional):
Na1 0.0000 0.0000 0.0000 x4  6 S 2.90-2.91
Cu1 0.0000 0.3676 0.2500 x4  4 S 2.28-2.33
P1 0.0000 0.3598 0.7500 x4  4 S 2.05-2.07
S1 0.0000 0.2543 0.5157 x8  1 P 2.05, 1 Cu 2.28
S2 0.2020 0.4802 0.7500 x8  1 P 2.07

Volume (Å³/atom): 22.15
Energy relative to the elements, uncorrected (eV/atom): -0.371
E_tot (eV per atom): -4.276
D(E_F) (states/eV/cell): 20.70
Spin magnetization (μB/f.u.): 0.75

---

(2)
VASP calculation (PBE-GGA) on a geometry-optimized Nd3Er2Zn2 structure.

a b c (Å): 3.6316 30.9006 3.5933
angles (deg): 90.00 90.00 90.00
Closest atoms and distances in Å follow each position.
Space group Cmmm (No. 65)
Symmetry-distinct sites (fractional):
Nd1 0.0000 0.0000 0.0000 x2  8 Zn 3.17
Nd2 0.0000 0.1217 0.0000 x4  4 Zn 3.18
Er1 0.0000 0.2973 0.5000 x4  6 Er 3.44-3.63, 4 Nd 3.58
Zn1 0.0000 0.4394 0.5000 x4  8 Nd 3.17-3.18

Volume (Å³/atom): 28.80
E_tot (eV per atom): -3.793
D(E_F) (states/eV/cell): 18.40
Formation enthalpy at 0 K (eV/atom): -0.082
Spin magnetization (μB/f.u.): 0.00

---

(3)
VASP calculation (PBE-GGA) on a geometry-optimized Nd3MoN6 structure.

a b c (Å): 9.7780 12.1581 5.5424
angles (deg): 90.00 90.00 90.00
Closest atoms and distances in Å follow each position.
Space group Cmc2_1 (No. 36)
Symmetry-distinct sites (fractional):
Nd1 0.0000 0.1074 0.0000 x4  7 N 2.45-2.65
Nd2 0.1880 0.3918 0.9718 x8  5 N 2.40-2.55
Mo1 0.0000 0.3024 0.4286 x4  4 N 1.86-1.90
N1 0.0000 0.2896 0.7710 x4  1 Mo 1.90
N2 0.0000 0.4452 0.3079 x4  1 Mo 1.86
N3 0.1498 0.2377 0.2761 x8  1 Mo 1.86
N4 0.1599 0.0077 0.7300 x8  4 Nd 2.40-2.48

Volume (Å³/atom): 16.47
Energy relative to the elements, uncorrected (eV/atom): -0.643
E_tot (eV per atom): -8.152
D(E_F) (states/eV/cell): 23.52
Spin magnetization (μB/f.u.): 1.81

---

(4)
VASP calculation (PBE-GGA) on a geometry-optimized TaHgBr2 structure.

a b c (Å): 9.1582 9.1582 5.8313
angles (deg): 90.00 90.00 90.00
Closest atoms and distances in Å follow each position.
Space group I-42d (No. 122)
Symmetry-distinct sites (fractional):
Ta1 0.0000 0.0000 0.0000 x4  4 Br 2.63, 2 Hg 2.92
Hg1 0.0000 0.0000 0.5000 x4  2 Ta 2.92
Br1 0.1164 0.2500 0.1250 x8  2 Ta 2.63

Volume (Å³/atom): 30.57
Energy relative to the elements, uncorrected (eV/atom): 0.064
E_tot (eV per atom): -3.811
D(E_F) (states/eV/cell): 9.17
Spin magnetization (μB/f.u.): 2.02